Record 1
Computed, not measured: a geometry-optimized Ti2Zn3Ni2 structure at the PBE level of DFT.

Values from the calculation:
theoretical density	6.77	Mg/m³
total energy	-4.68	eV/atom
ΔE_f	-152	kJ/mol of formula units
crystal system	monoclinic
space-group type	C2/m, No. 12
V	100	Å³ per cell

Cell: 3.984 4.863 5.816 Å, 101.14 90.00 114.18°
Fractional coordinates of all 7 atoms:
Ti 0.621 0.243 0.371
Ti 0.379 0.757 0.629
Zn 0.302 0.605 0.123
Zn 0.000 0.000 0.000
Zn 0.698 0.395 0.877
Ni 0.110 0.220 0.651
Ni 0.890 0.780 0.349

Record 2
Computed, not measured: a geometry-optimized TmTlIn2O6 structure at the PBE level of DFT.

Values from the calculation:
theoretical density	8.36	Mg/m³
total energy	-6.04	eV/atom
crystal system	trigonal
space-group type	R3, No. 146
V	139	Å³ per cell

Cell: 5.673 5.673 5.964 Å, 61.60 61.60 60.00°
Fractional coordinates of all 10 atoms:
Tm 0.807 0.807 0.578
Tl 0.304 0.304 0.088
In 0.520 0.520 0.440
In 0.024 0.024 0.929
O 0.635 0.216 0.250
O 0.216 0.899 0.250
O 0.899 0.635 0.250
O 0.408 0.724 0.743
O 0.724 0.124 0.743
O 0.124 0.408 0.744

> Which of these has the lowest total energy?

TmTlIn2O6

> Which value of total energy does entry 2 give?

-6.04 eV/atom